## MgAgHg2 (PBE)

Data for crystalline MgAgHg2 at its relaxed geometry.

Summary:
- Calculated density: 10.56 g/cm3
- N(E_F): 1.3 states/eV/f.u.
- Raw total energy: -10.56 eV/cell

a b c (Å): 3.531 4.798 9.903
angles (deg): 90.00 90.00 90.00
Space group Imm2 (No. 44)
One atom of each set of equivalent atoms:
Mg1 0.000 0.000 0.000 (multiplicity 2)
Ag1 0.000 0.500 0.734 (multiplicity 2)
Hg1 0.000 0.000 0.487 (multiplicity 2)
Hg2 0.000 0.500 0.251 (multiplicity 2)